Entry 1:
# CaCd2InHg5

A relaxed structure of CaCd2InHg5 (PBE, Alexandria).

Output
Magnetization (μB per atom): 0.00
DFT formation energy (eV per atom): -0.14
Calculated total energy (Ha/atom): -0.038
Crystal system: orthorhombic
Symmetry: No. 36

```
18
Lattice="2.5055 -6.6817 0.0000 2.5055 6.6817 0.0000 0.0000 0.0000 13.6652" Properties=species:S:1:pos:R:3 pbc="T T T"
Ca 2.5055 5.5152 6.8326
Ca 2.5055 -5.5152 0.0000
Cd 2.5055 1.1901 6.7380
Cd 2.5055 1.0349 11.3037
Cd 2.5055 -1.0349 4.4711
Cd 2.5055 -1.1901 13.5706
In 2.5055 3.5461 13.4817
In 2.5055 -3.5461 6.6491
Hg 2.5055 5.7252 11.2737
Hg 2.5055 5.5600 2.1841
Hg 2.5055 3.4092 4.4676
Hg 2.5055 3.3378 9.1547
Hg 2.5055 1.1536 2.1052
Hg 2.5055 -1.1536 8.9377
Hg 2.5055 -3.3378 2.3221
Hg 2.5055 -3.4092 11.3002
Hg 2.5055 -5.5600 9.0167
Hg 2.5055 -5.7252 4.4411
```

Entry 2:
# LaHo2Tl3S6

A relaxed structure of LaHo2Tl3S6 (PBE, Alexandria).

Output
Magnetization (μB per atom): 0.00
Calculated total energy (Ha/atom): -0.196
Raw formation energy (eV/f.u.): -18.0
Crystal system: monoclinic
Symmetry: No. 12

```
12
Lattice="3.5552 -6.1535 0.0000 3.5552 6.1535 0.0000 -2.3644 0.0000 7.4942" Properties=species:S:1:pos:R:3 pbc="T T T"
La 0.0000 0.0000 0.0000
Ho 3.5552 2.0497 0.0000
Ho 3.5552 -2.0497 0.0000
Tl 2.3730 4.1166 3.7471
Tl 2.3730 0.0000 3.7471
Tl 2.3730 -4.1166 3.7471
S 1.2354 2.1371 1.5006
S 0.1015 0.0000 6.0149
S 1.2354 -2.1371 1.5006
S 3.5105 2.1371 5.9936
S 4.6444 0.0000 1.4792
S 3.5105 -2.1371 5.9936
```

Entry 3:
# BeCoW

A relaxed structure of BeCoW (PBE, Alexandria).

Output
Magnetization (μB per atom): 0.07
DFT formation energy (eV per atom): -0.09
Calculated total energy (Ha/atom): -0.295
Energy above the most stable polymorph in this dataset (meV per atom): 70.8
Crystal system: tetragonal
Symmetry: No. 107

```
6
Lattice="2.7089 0.0000 0.0000 0.0000 2.7089 0.0000 0.0000 0.0000 9.2542" Properties=species:S:1:pos:R:3 pbc="T T T"
Be 0.0000 0.0000 0.0000
Be 1.3545 1.3545 4.6271
Co 0.0000 0.0000 5.7781
Co 1.3545 1.3545 1.1510
W 0.0000 0.0000 2.9093
W 1.3545 1.3545 7.5364
```

Entry 4:
# MgGa4Ag

A relaxed structure of MgGa4Ag (PBE, Alexandria).

Output
Magnetization (μB per atom): 0.00
DFT formation energy (eV per atom): -0.04
Calculated total energy (Ha/atom): -0.103
Energy above the most stable polymorph in this dataset (meV per atom): 0.0
Crystal system: monoclinic
Symmetry: No. 10

```
6
Lattice="3.9531 0.0000 0.0000 0.0000 3.2286 0.0000 -0.1956 0.0000 8.7089" Properties=species:S:1:pos:R:3 pbc="T T T"
Mg 0.0000 0.0000 0.0000
Ga -0.1138 0.0000 5.7870
Ga 1.8076 1.6143 7.1999
Ga 1.9499 1.6143 1.5090
Ga 3.8713 0.0000 2.9220
Ag 1.8787 1.6143 4.3545
```